Entry from the Alexandria database: a relaxed CeYIrI crystal (PBE).

The structure in extended XYZ format:
```
4
Lattice="-1.751 3.514 1.285 -1.260 -1.772 -3.513 -3.882 -5.976 4.408" Properties=species:S:1:pos:R:3 pbc="T T T"
Ce -1.531 -1.641 -2.986
Y -3.751 -2.557 3.132
I -3.606 0.534 1.520
Ir -4.607 -5.107 2.296
```

Calculated values
**N(E_F)**: 6.84 states/eV per cell
**Energy relative to the elements, uncorrected**: -3.7 eV per formula unit
**Space-group type**: R3m, No. 160

---

Entry from the Alexandria database: a relaxed U2Co4Ge3Os crystal (PBE).

The structure in extended XYZ format:
```
10
Lattice="3.752 0.000 0.000 0.000 3.752 0.000 0.000 0.000 10.810" Properties=species:S:1:pos:R:3 pbc="T T T"
Ge 1.876 0.000 9.478
Ge 0.000 0.000 5.405
Ge 0.000 1.876 1.333
Co 0.000 1.876 3.646
Co 0.000 0.000 0.000
Co 1.876 0.000 7.164
Co 1.876 1.876 0.000
U 0.000 1.876 7.961
U 1.876 0.000 2.849
Os 1.876 1.876 5.405
```

Calculated values
**N(E_F)**: 8.25 states/eV per cell
**Space-group type**: P-4m2, No. 115
**ΔE_f**: -0.239 eV per atom

---

Entry from the Alexandria database: a relaxed Na2CdBi crystal (PBE).

The structure in extended XYZ format:
```
4
Lattice="3.466 0.000 0.000 0.000 3.466 0.000 0.000 0.000 9.279" Properties=species:S:1:pos:R:3 pbc="T T T"
Na 0.000 0.000 6.997
Na 0.000 0.000 2.282
Bi 1.733 1.733 4.640
Cd 1.733 1.733 0.000
```

Calculated values
**N(E_F)**: 1.52 states/eV per cell
**Space-group type**: P4/mmm, No. 123
**ΔE_f**: -0.189 eV per atom
**Distance to the lowest polymorph of the same formula**: 0.036 eV per atom

---

Entry from the Alexandria database: a relaxed CaZr2Br crystal (PBE).

The structure in extended XYZ format:
```
4
Lattice="5.667 -0.004 0.008 4.697 3.170 0.008 1.434 0.438 5.994" Properties=species:S:1:pos:R:3 pbc="T T T"
Zr 1.654 0.505 5.297
Zr 9.159 2.798 4.838
Br 5.532 1.690 3.082
Ca 2.785 0.851 1.794
```

Calculated values
**N(E_F)**: 4.88 states/eV per cell
**Energy relative to the elements, uncorrected**: -0.1 eV per formula unit
**Space-group type**: Cm, No. 8
**Distance to the lowest polymorph of the same formula**: 0.271 eV per atom

---

Entry from the Alexandria database: a relaxed CsErPb2Cl8 crystal (PBE).

The structure in extended XYZ format:
```
12
Lattice="-1.095 -4.058 -5.458 3.548 -4.933 2.638 -7.374 -4.201 3.774" Properties=species:S:1:pos:R:3 pbc="T T T"
Cl -1.549 -5.352 -3.221
Cl -1.526 -8.018 0.408
Cl -3.395 -5.174 0.546
Cl -5.950 -7.978 -0.979
Cl 1.845 -6.642 -1.699
Cl -6.766 -6.550 2.653
Cl 1.029 -5.214 1.933
Cl -3.372 -7.840 4.175
Cs -3.687 -2.101 1.887
Pb -0.578 -5.622 -0.471
Pb -4.343 -7.570 1.425
Er 0.000 0.000 0.000
```

Calculated values
**N(E_F)**: 0.00 states/eV per cell
**Energy relative to the elements, uncorrected**: -19.8 eV per formula unit
**Space-group type**: P-1, No. 2

---

Entry from the Alexandria database: a relaxed AgSb2Os crystal (PBE).

The structure in extended XYZ format:
```
4
Lattice="0.000 3.396 3.396 3.396 0.000 3.396 3.396 3.396 0.000" Properties=species:S:1:pos:R:3 pbc="T T T"
Sb 5.094 5.094 5.094
Sb 1.698 1.698 1.698
Os 3.396 3.396 3.396
Ag 0.000 0.000 0.000
```

Calculated values
**N(E_F)**: 1.82 states/eV per cell
**Energy relative to the elements, uncorrected**: 1.9 eV per formula unit
**Space-group type**: Fm-3m, No. 225
**Distance to the lowest polymorph of the same formula**: 0.168 eV per atom

---

Entry from the Alexandria database: a relaxed ThFeB2Ru crystal (PBE).

The structure in extended XYZ format:
```
5
Lattice="-0.907 -3.704 -0.425 1.865 -0.072 -3.353 3.541 0.644 4.151" Properties=species:S:1:pos:R:3 pbc="T T T"
Fe 1.556 -2.474 0.918
Th 0.000 0.000 0.000
B 1.778 -2.290 -1.158
B 2.720 -0.842 1.531
Ru 2.942 -0.658 -0.545
```

Calculated values
**N(E_F)**: 4.24 states/eV per cell
**Space-group type**: I-4m2, No. 119
**ΔE_f**: -0.429 eV per atom

---

Entry from the Alexandria database: a relaxed PmSnH crystal (PBE).

The structure in extended XYZ format:
```
12
Lattice="4.042 0.000 0.000 0.000 9.367 -1.162 0.000 -1.309 7.597" Properties=species:S:1:pos:R:3 pbc="T T T"
Sn 2.021 0.037 6.992
Sn 0.000 3.337 0.024
Sn 2.021 8.021 -0.557
Sn 4.042 4.721 6.411
Pm 4.042 0.853 2.126
Pm 0.000 7.205 4.309
Pm 2.021 5.537 1.545
Pm 2.021 2.522 4.890
H 2.021 6.458 3.599
H 0.000 6.284 2.255
H 2.021 1.600 2.836
H 4.042 1.774 4.180
```

Calculated values
**N(E_F)**: 5.49 states/eV per cell
**Space-group type**: C2/m, No. 12
**Distance to the lowest polymorph of the same formula**: 0.244 eV per atom

---

Entry from the Alexandria database: a relaxed NdP2IrPd2 crystal (PBE).

The structure in extended XYZ format:
```
6
Lattice="-1.754 3.667 0.428 -3.566 -1.805 0.852 4.623 -0.947 7.545" Properties=species:S:1:pos:R:3 pbc="T T T"
Ir 0.000 0.000 0.000
Pd 0.105 1.825 4.306
Pd -0.802 -0.911 4.518
P 1.261 -0.011 5.258
P -1.958 0.925 3.566
Nd -2.660 0.931 0.640
```

Calculated values
**N(E_F)**: 4.24 states/eV per cell
**Space-group type**: I4/mmm, No. 139
**ΔE_f**: 0.028 eV per atom

---

Entry from the Alexandria database: a relaxed LaNi2Sn crystal (PBE).

The structure in extended XYZ format:
```
8
Lattice="-1.241 0.440 4.522 0.472 -4.650 0.582 7.848 -1.001 4.703" Properties=species:S:1:pos:R:3 pbc="T T T"
Sn -0.385 -2.105 2.552
Sn 3.968 -3.878 3.919
La 0.000 0.000 0.000
La 3.112 -1.333 5.889
Ni 1.499 -0.646 3.151
Ni 5.117 -3.484 7.875
Ni 1.848 -3.012 3.029
Ni 5.694 -3.279 5.561
```

Calculated values
**N(E_F)**: 4.50 states/eV per cell
**Space-group type**: I-42d, No. 122
**ΔE_f**: -0.142 eV per atom

---

Entry from the Alexandria database: a relaxed Mg3Br crystal (PBE).

The structure in extended XYZ format:
```
4
Lattice="-1.273 2.714 -1.605 -4.876 -0.536 2.960 2.007 3.244 3.894" Properties=species:S:1:pos:R:3 pbc="T T T"
Mg 0.370 2.983 1.149
Mg -1.518 3.604 3.696
Mg -1.884 0.628 2.555
Br 0.229 0.370 0.444
```

Calculated values
**N(E_F)**: 1.70 states/eV per cell
**Energy relative to the elements, uncorrected**: -0.6 eV per formula unit
**Space-group type**: Pmm2, No. 25
**Distance to the lowest polymorph of the same formula**: 0.159 eV per atom

---

Entry from the Alexandria database: a relaxed TeIrI2F crystal (PBE).

The structure in extended XYZ format:
```
5
Lattice="-2.884 1.336 -4.711 -1.640 -5.415 -0.532 -3.386 0.800 2.300" Properties=species:S:1:pos:R:3 pbc="T T T"
Te -1.693 0.400 1.150
I -1.442 0.668 -2.356
I -0.820 -2.708 -0.266
F 0.000 0.000 0.000
Ir -3.955 -1.640 -1.472
```

Calculated values
**N(E_F)**: 6.91 states/eV per cell
**Energy relative to the elements, uncorrected**: 4.5 eV per formula unit
**Space-group type**: P4/mmm, No. 123
**Distance to the lowest polymorph of the same formula**: 0.832 eV per atom

---

Entry from the Alexandria database: a relaxed TlCu3Hg crystal (PBE).

The structure in extended XYZ format:
```
5
Lattice="-1.546 1.657 4.385 -4.589 0.409 -1.772 -0.958 -4.632 1.412" Properties=species:S:1:pos:R:3 pbc="T T T"
Tl -3.546 -1.283 2.013
Cu -2.294 0.204 -0.886
Cu -0.773 0.828 2.193
Cu -0.479 -2.316 0.706
Hg 0.000 0.000 0.000
```

Calculated values
**N(E_F)**: 1.80 states/eV per cell
**Space-group type**: Pm-3m, No. 221
**ΔE_f**: 0.691 eV per atom
**Distance to the lowest polymorph of the same formula**: 0.000 eV per atom

---

Entry from the Alexandria database: a relaxed LaScSi crystal (PBE).

The structure in extended XYZ format:
```
3
Lattice="4.911 0.000 0.000 2.455 4.253 0.000 2.455 1.418 4.009" Properties=species:S:1:pos:R:3 pbc="T T T"
Sc 0.000 0.000 0.000
Si 4.911 2.835 2.005
La 2.455 1.418 1.002
```

Calculated values
**N(E_F)**: 4.40 states/eV per cell
**Energy relative to the elements, uncorrected**: 1.4 eV per formula unit
**Space-group type**: F-43m, No. 216
**Distance to the lowest polymorph of the same formula**: 1.090 eV per atom

---

Entry from the Alexandria database: a relaxed ReTcPt2 crystal (PBE).

The structure in extended XYZ format:
```
4
Lattice="4.462 0.000 0.000 0.000 2.758 0.001 0.000 -0.003 4.881" Properties=species:S:1:pos:R:3 pbc="T T T"
Pt 2.231 0.343 1.400
Pt 0.000 0.343 4.702
Tc 2.231 1.722 3.801
Re 0.000 1.722 2.301
```

Calculated values
**N(E_F)**: 3.79 states/eV per cell
**Space-group type**: Pmm2, No. 25
**ΔE_f**: -0.116 eV per atom
**Distance to the lowest polymorph of the same formula**: 0.021 eV per atom

---

Entry from the Alexandria database: a relaxed ZnCo2Re crystal (PBE).

The structure in extended XYZ format:
```
4
Lattice="-1.126 1.913 -1.473 -2.644 0.325 0.035 -0.522 6.051 5.849" Properties=species:S:1:pos:R:3 pbc="T T T"
Re -2.513 1.493 -0.957
Zn -2.146 4.144 2.204
Co -0.705 4.727 4.270
Co -1.073 2.070 1.100
```

Calculated values
**N(E_F)**: 4.27 states/eV per cell
**Space-group type**: R3m, No. 160
**ΔE_f**: 0.077 eV per atom

---

Entry from the Alexandria database: a relaxed ScCu crystal (PBE).

The structure in extended XYZ format:
```
4
Lattice="3.592 0.000 0.000 -1.796 3.111 0.000 0.000 0.000 7.110" Properties=species:S:1:pos:R:3 pbc="T T T"
Sc 0.000 0.000 3.213
Sc 1.796 1.037 5.674
Cu 1.796 1.037 1.518
Cu 0.000 0.000 0.259
```

Calculated values
**N(E_F)**: 3.11 states/eV per cell
**Space-group type**: P-3m1, No. 164
**ΔE_f**: 0.101 eV per atom

---

Entry from the Alexandria database: a relaxed LiLaTa2 crystal (PBE).

The structure in extended XYZ format:
```
4
Lattice="-0.455 -5.432 -2.536 -0.024 -5.068 3.234 -2.546 5.324 -1.151" Properties=species:S:1:pos:R:3 pbc="T T T"
Li -1.404 -2.497 1.216
Ta -0.232 -5.080 0.338
Ta -0.008 -0.170 0.011
La -1.620 -2.679 -1.669
```

Calculated values
**N(E_F)**: 3.81 states/eV per cell
**Space-group type**: Immm, No. 71
**ΔE_f**: 0.493 eV per atom
**Distance to the lowest polymorph of the same formula**: 0.149 eV per atom

---

Entry from the Alexandria database: a relaxed Cs2UAsSe6 crystal (PBE).

The structure in extended XYZ format:
```
10
Lattice="6.601 0.000 0.000 0.000 7.745 0.000 0.000 -3.873 6.708" Properties=species:S:1:pos:R:3 pbc="T T T"
U 3.300 0.000 0.000
Se 1.636 5.899 1.066
Se 4.965 0.000 2.131
Se 4.965 2.027 5.642
Se 1.636 3.873 4.576
Se 4.965 -2.027 5.642
Se 1.636 1.846 1.066
Cs 1.510 0.000 4.472
Cs 5.091 3.873 2.236
As 0.000 0.000 0.000
```

Calculated values
**N(E_F)**: 5.03 states/eV per cell
**Energy relative to the elements, uncorrected**: -8.3 eV per formula unit
**Space-group type**: P-3m1, No. 164

---

Entry from the Alexandria database: a relaxed Cs2CuHgAs crystal (PBE).

The structure in extended XYZ format:
```
5
Lattice="6.870 0.000 0.000 0.000 6.870 0.000 0.000 0.000 4.484" Properties=species:S:1:pos:R:3 pbc="T T T"
Hg 3.435 3.435 2.242
Cu 0.000 0.000 0.000
As 0.000 0.000 2.242
Cs 3.435 0.000 0.000
Cs 0.000 3.435 0.000
```

Calculated values
**N(E_F)**: 2.65 states/eV per cell
**Space-group type**: P4/mmm, No. 123
**ΔE_f**: -0.178 eV per atom
**Distance to the lowest polymorph of the same formula**: 0.000 eV per atom

---

Entry from the Alexandria database: a relaxed PmNdCCl crystal (PBE).

The structure in extended XYZ format:
```
4
Lattice="3.745 0.000 0.000 -1.872 3.243 0.000 -1.872 -1.081 7.214" Properties=species:S:1:pos:R:3 pbc="T T T"
Pm -1.518 3.006 0.424
C -1.518 0.844 6.297
Nd 0.354 -0.237 4.888
Cl 2.226 0.844 2.600
```

Calculated values
**N(E_F)**: 2.09 states/eV per cell
**Energy relative to the elements, uncorrected**: -4.1 eV per formula unit
**Space-group type**: R3m, No. 160

---

Entry from the Alexandria database: a relaxed Li2MnPRh crystal (PBE).

The structure in extended XYZ format:
```
5
Lattice="-0.754 -1.136 -4.168 -2.185 -3.954 1.473 -3.820 2.151 0.105" Properties=species:S:1:pos:R:3 pbc="T T T"
Rh 0.000 0.000 0.000
Li -0.377 -0.568 -2.084
Li -1.910 1.075 0.053
Mn -1.093 -1.977 0.736
P -3.380 -1.469 -1.295
```

Calculated values
**N(E_F)**: 3.39 states/eV per cell
**Space-group type**: P4/mmm, No. 123
**ΔE_f**: 0.618 eV per atom
**Distance to the lowest polymorph of the same formula**: 0.075 eV per atom

---

Entry from the Alexandria database: a relaxed CaAg12Sn6 crystal (PBE).

The structure in extended XYZ format:
```
19
Lattice="-6.293 2.593 4.000 -2.791 -5.756 -4.626 4.416 -3.714 5.387" Properties=species:S:1:pos:R:3 pbc="T T T"
Sn -0.744 -5.892 1.737
Sn -2.508 -4.360 -0.462
Sn -5.072 -3.343 1.176
Sn 0.405 -3.535 3.585
Sn -3.923 -0.985 3.024
Sn -2.160 -2.518 5.223
Ag -5.143 -4.234 -1.523
Ag -0.969 -6.693 -0.982
Ag -6.508 -0.980 1.840
Ag 0.475 -2.643 6.284
Ag -3.688 -5.821 1.999
Ag -4.514 -3.852 4.033
Ag -3.699 -0.184 5.743
Ag -0.154 -3.025 0.728
Ag -0.980 -1.056 2.762
Ag 1.841 -5.897 2.921
Ag -2.680 -1.538 0.400
Ag -1.988 -5.340 4.361
Ca 0.000 0.000 0.000
```

Calculated values
**N(E_F)**: 7.59 states/eV per cell
**Space-group type**: R-3m, No. 166
**ΔE_f**: 0.055 eV per atom